Below is a relaxed SrMo3Se crystal, with properties calculated at the PBE-GGA level.

The total magnetization is 0.00 μB per formula unit. The calculation puts the electronic total energy at -32.831 eV for the cell shown.

The structure belongs to space group Pm-3m (No. 221); the cell edges are 4.7740, 4.7740 and 4.7740 Å and the angles 90.00°, 90.00° and 90.00°. Symmetry generates all atoms from Sr at (0.0000, 0.0000, 0.0000), Mo at (0.0000, 0.5000, 0.5000) and Se at (0.5000, 0.5000, 0.5000).

***

Below is a relaxed SrMo3Se crystal, with properties calculated at the PBE-GGA level.

The total magnetization is 0.00 μB per formula unit. The calculation puts the electronic total energy at -22.250 eV for the cell shown.

The structure belongs to space group Pm-3m (No. 221); the cell edges are 4.8549, 4.8549 and 4.8549 Å and the angles 90.00°, 90.00° and 90.00°. Symmetry generates all atoms from Sr at (0.0000, 0.0000, 0.0000), Mo at (0.0000, 0.0000, 0.5000) and Se at (0.5000, 0.5000, 0.5000).

***

Below is a relaxed SrMo6Se8 crystal, with properties calculated at the PBE-GGA level.

The total magnetization is 0.00 μB per formula unit. The calculation puts the electronic total energy at -316.336 eV for the cell shown.

The structure belongs to space group R-3 (No. 148, hexagonal axes); the cell edges are 9.6593, 9.6593 and 12.1913 Å and the angles 90.00°, 90.00° and 120.00°. Symmetry generates all atoms from Sr at (0.0000, 0.0000, 0.0000), Mo at (0.0145, 0.1676, 0.4081), Se at (0.0000, 0.0000, 0.2447) and Se at (0.0041, 0.3717, 0.2499).

***

Below is a relaxed TaMoSe2 crystal, with properties calculated at the PBE-GGA level.

The total magnetization is 0.00 μB per formula unit. The calculation puts the electronic total energy at -118.706 eV for the cell shown.

The structure belongs to space group Fm-3m (No. 225); the cell edges are 6.3833, 6.3833 and 6.3833 Å and the angles 90.00°, 90.00° and 90.00°. Symmetry generates all atoms from Ta at (0.0000, 0.0000, 0.0000), Mo at (0.0000, 0.0000, 0.5000) and Se at (0.2500, 0.2500, 0.2500).

***

Below is a relaxed TaMoSe2 crystal, with properties calculated at the PBE-GGA level.

The total magnetization is 0.00 μB per formula unit. The calculation puts the electronic total energy at -59.256 eV for the cell shown.

The structure belongs to space group C2/m (No. 12); the cell edges are 8.2002, 3.1464 and 5.4252 Å and the angles 90.00°, 103.15° and 90.00°. Symmetry generates all atoms from Ta at (0.0000, 0.0000, 0.0000), Mo at (0.0000, 0.5000, 0.5000) and Se at (0.2483, 0.0000, 0.7452).

***

Below is a relaxed Ta2MoSe5 crystal, with properties calculated at the PBE-GGA level.

The total magnetization is 0.00 μB per formula unit. The calculation puts the electronic total energy at -219.980 eV for the cell shown.

The structure belongs to space group Cmcm (No. 63); the cell edges are 4.9789, 11.8856 and 11.3773 Å and the angles 90.00°, 90.00° and 90.00°. Symmetry generates all atoms from Ta at (0.0000, 0.1490, 0.1143), Mo at (0.0000, 0.2403, 0.7500), Se at (0.0000, 0.0623, 0.6126), Se at (0.0000, 0.3258, 0.2500) and Se at (0.0000, 0.3333, 0.5448).

***

Below is a relaxed TaMoSe2 crystal, with properties calculated at the PBE-GGA level.

The total magnetization is 0.00 μB per formula unit. The calculation puts the electronic total energy at -110.277 eV for the cell shown.

The structure belongs to space group F-43m (No. 216); the cell edges are 6.5634, 6.5634 and 6.5634 Å and the angles 90.00°, 90.00° and 90.00°. Symmetry generates all atoms from Ta at (0.0000, 0.0000, 0.0000), Mo at (0.2500, 0.2500, 0.2500), Se at (0.0000, 0.0000, 0.5000) and Se at (0.2500, 0.2500, 0.7500).

***

Below is a relaxed TaMoSe2 crystal, with properties calculated at the PBE-GGA level.

The total magnetization is 0.00 μB per formula unit. The calculation puts the electronic total energy at -30.782 eV for the cell shown.

The structure belongs to space group P4mm (No. 99); the cell edges are 3.1458, 3.1458 and 8.2131 Å and the angles 90.00°, 90.00° and 90.00°. Symmetry generates all atoms from Ta at (0.0000, 0.0000, 0.0000), Mo at (0.5000, 0.5000, 0.2516), Se at (0.0000, 0.0000, 0.4083) and Se at (0.5000, 0.5000, 0.8185).

***

Below is a relaxed TaMoSe2 crystal, with properties calculated at the PBE-GGA level.

The total magnetization is 0.00 μB per formula unit. The calculation puts the electronic total energy at -60.373 eV for the cell shown.

The structure belongs to space group Cm (No. 8); the cell edges are 8.9769, 3.2825 and 4.9072 Å and the angles 90.00°, 105.23° and 90.00°. Symmetry generates all atoms from Ta at (0.0000, 0.0000, 0.0000), Mo at (0.2696, 0.5000, 0.3542), Se at (0.0038, 0.5000, 0.5514) and Se at (0.2708, 0.0000, 0.9402).

***

Below is a relaxed Ta2MoSe6 crystal, with properties calculated at the PBE-GGA level.

The total magnetization is 0.00 μB per formula unit. The calculation puts the electronic total energy at -124.110 eV for the cell shown.

The structure belongs to space group C2/m (No. 12); the cell edges are 17.3309, 3.4474 and 7.9233 Å and the angles 90.00°, 115.13° and 90.00°. Symmetry generates all atoms from Ta at (0.1478, 0.0000, 0.2934), Mo at (0.0000, 0.5000, 0.0000), Se at (0.0045, 0.0000, 0.7567), Se at (0.1634, 0.5000, 0.0709) and Se at (0.1767, 0.5000, 0.5632).

***

Below is a relaxed TaMoSe2 crystal, with properties calculated at the PBE-GGA level.

The total magnetization is 0.00 μB per formula unit. The calculation puts the electronic total energy at -28.327 eV for the cell shown.

The structure belongs to space group P2/m (No. 10); the cell edges are 3.5028, 4.2030 and 4.9222 Å and the angles 90.00°, 94.33° and 90.00°. Symmetry generates all atoms from Ta at (0.0000, 0.0000, 0.0000), Mo at (0.5000, 0.0000, 0.5000) and Se at (0.2627, 0.5000, 0.7446).

***

Below is a relaxed TaMoSe2 crystal, with properties calculated at the PBE-GGA level.

The total magnetization is 0.90 μB per formula unit. The calculation puts the electronic total energy at -111.561 eV for the cell shown.

The structure belongs to space group I-42d (No. 122); the cell edges are 5.9279, 5.9279 and 10.6773 Å and the angles 90.00°, 90.00° and 90.00°. Symmetry generates all atoms from Ta at (0.0000, 0.0000, 0.0000), Mo at (0.0000, 0.0000, 0.5000) and Se at (0.2450, 0.2500, 0.6250).

***

Below is a relaxed TaMoSe2 crystal, with properties calculated at the PBE-GGA level.

The total magnetization is 0.00 μB per formula unit. The calculation puts the electronic total energy at -29.627 eV for the cell shown.

The structure belongs to space group P2/m (No. 10); the cell edges are 4.4015, 3.1511 and 5.3624 Å and the angles 90.00°, 113.55° and 90.00°. Symmetry generates all atoms from Ta at (0.0000, 0.0000, 0.0000), Mo at (0.5000, 0.5000, 0.5000), Se at (0.0000, 0.0000, 0.5000) and Se at (0.5000, 0.5000, 0.0000).

***

Below is a relaxed TaMoSe2 crystal, with properties calculated at the PBE-GGA level.

The total magnetization is 0.00 μB per formula unit. The calculation puts the electronic total energy at -31.438 eV for the cell shown.

The structure belongs to space group Pm (No. 6); the cell edges are 3.5040, 4.1308 and 6.6450 Å and the angles 90.00°, 90.24° and 90.00°. Symmetry generates all atoms from Ta at (0.0000, 0.0000, 0.0000), Mo at (0.4998, 0.5000, 0.9752), Se at (0.0021, 0.5000, 0.2583) and Se at (0.4977, 0.0000, 0.7114).

***

Below is a relaxed TaMoSe4 crystal, with properties calculated at the PBE-GGA level.

The total magnetization is 0.00 μB per formula unit. The calculation puts the electronic total energy at -80.754 eV for the cell shown.

The structure belongs to space group C2/m (No. 12); the cell edges are 14.0548, 3.4019 and 5.8736 Å and the angles 90.00°, 98.04° and 90.00°. Symmetry generates all atoms from Ta at (0.0000, 0.0000, 0.0000), Mo at (0.0000, 0.5000, 0.5000), Se at (0.1204, 0.0000, 0.3777) and Se at (0.1222, 0.5000, 0.8729).

***

Below is a relaxed TaMoSe2 crystal, with properties calculated at the PBE-GGA level.

The total magnetization is 0.00 μB per formula unit. The calculation puts the electronic total energy at -89.025 eV for the cell shown.

The structure belongs to space group R-3m (No. 166, hexagonal axes); the cell edges are 3.1300, 3.1300 and 26.3493 Å and the angles 90.00°, 90.00° and 120.00°. Symmetry generates all atoms from Ta at (0.0000, 0.0000, 0.0000), Mo at (0.0000, 0.0000, 0.5000) and Se at (0.0000, 0.0000, 0.0982).

***

Below is a relaxed TaMoSe2 crystal, with properties calculated at the PBE-GGA level.

The total magnetization is 0.00 μB per formula unit. The calculation puts the electronic total energy at -29.653 eV for the cell shown.

The structure belongs to space group P4/mmm (No. 123); the cell edges are 3.1911, 3.1911 and 6.3848 Å and the angles 90.00°, 90.00° and 90.00°. Symmetry generates all atoms from Ta at (0.0000, 0.0000, 0.0000), Mo at (0.0000, 0.0000, 0.5000) and Se at (0.5000, 0.5000, 0.2506).

***

Below is a relaxed Ta2MoSe6 crystal, with properties calculated at the PBE-GGA level.

The total magnetization is 0.04 μB per formula unit. The calculation puts the electronic total energy at -118.248 eV for the cell shown.

The structure belongs to space group P2_1/c (No. 14); the cell edges are 6.3590, 6.2993 and 11.1757 Å and the angles 90.00°, 121.85° and 90.00°. Symmetry generates all atoms from Ta at (0.1735, 0.1639, 0.2543), Mo at (0.0000, 0.0000, 0.5000), Se at (0.1133, 0.1413, 0.9296), Se at (0.2656, 0.6751, 0.9150) and Se at (0.4072, 0.0239, 0.7331).

***

Below is a relaxed TaMoSe2 crystal, with properties calculated at the PBE-GGA level.

The total magnetization is 0.00 μB per formula unit. The calculation puts the electronic total energy at -93.620 eV for the cell shown.

The structure belongs to space group R3m (No. 160, hexagonal axes); the cell edges are 3.2501, 3.2501 and 28.1451 Å and the angles 90.00°, 90.00° and 120.00°. Symmetry generates all atoms from Ta at (0.0000, 0.0000, 0.0000), Mo at (0.0000, 0.0000, 0.7445), Se at (0.0000, 0.0000, 0.2704) and Se at (0.0000, 0.0000, 0.4713).

***

Below is a relaxed TaMoSe2 crystal, with properties calculated at the PBE-GGA level.

The total magnetization is 0.00 μB per formula unit. The calculation puts the electronic total energy at -56.571 eV for the cell shown.

The structure belongs to space group C2/m (No. 12); the cell edges are 5.7972, 8.4488 and 3.4614 Å and the angles 90.00°, 121.91° and 90.00°. Symmetry generates all atoms from Ta at (0.0000, 0.0000, 0.0000), Mo at (0.0000, 0.5000, 0.0000) and Se at (0.2500, 0.2500, 0.5000).